Mg2ZnRu | PBE | relaxed

E: -13.8 eV per formula unit
ΔH_f (0 K): -18 meV/atom

a b c (Å): 3.2778 3.2771 6.3041
angles (deg): 90.00 90.00 90.00
With the nearest neighbours (Å) after each atom.
Element x y z (fractional)
Ru  0.0000  0.0000  0.5203  4 Zn 2.62, 5 Mg 2.73-2.84
Mg  0.0000  0.0000  0.9715  4 Zn 2.82, 1 Ru 2.84, 4 Mg 3.08
Mg  0.5000  0.5000  0.2926  1 Zn 2.67, 4 Ru 2.73
Zn  0.5000  0.5000  0.7156  4 Ru 2.62, 5 Mg 2.67-2.82

---

MgZn2Ru | PBE | relaxed

E: -13.4 eV per formula unit
ΔH_f (0 K): -1 meV/atom

a b c (Å): 4.3801 4.3801 4.3799
angles (deg): 60.00 60.00 60.00
With the nearest neighbours (Å) after each atom.
Element x y z (fractional)
Zn  0.2499  0.2499  0.2503  4 Zn 2.68, 4 Mg 2.68
Zn  0.0000  0.0000  0.9999  4 Zn 2.68, 4 Ru 2.68
Mg  0.5000  0.5000  0.5000  4 Zn 2.68, 4 Ru 2.68
Ru  0.7500  0.7500  0.7499  4 Zn 2.68, 4 Mg 2.68

---

Mg2ZnRu | PBE | relaxed

E: -13.9 eV per formula unit
ΔH_f (0 K): -41 meV/atom

a b c (Å): 5.0650 5.0650 4.2524
angles (deg): 65.01 65.01 40.94
With the nearest neighbours (Å) after each atom.
Element x y z (fractional)
Mg  0.4993  0.4993  0.5007  4 Ru 2.76-3.01, 4 Zn 2.77-3.00, 4 Mg 2.77
Mg  0.0007  0.0007  0.9993  4 Ru 2.76-3.01, 4 Zn 2.77-3.00, 4 Mg 2.77
Zn  0.2500  0.2500  0.2500  8 Mg 2.77-3.00, 4 Ru 2.77
Ru  0.7500  0.7500  0.7500  8 Mg 2.76-3.01, 4 Zn 2.77

---

Mg2ZnRu | PBE | relaxed

E: -13.8 eV per formula unit
ΔH_f (0 K): -15 meV/atom

a b c (Å): 6.4091 4.7926 2.9772
angles (deg): 89.94 62.42 121.66
With the nearest neighbours (Å) after each atom.
Element x y z (fractional)
Ru  0.0000  0.5000  0.5000  8 Mg 2.82, 2 Zn 2.84, 2 Ru 2.98
Mg  0.5000  0.0000  0.5000  4 Ru 2.82, 4 Zn 2.82, 4 Mg 2.84-2.98
Mg  0.0000  0.0000  0.0000  4 Zn 2.82, 4 Ru 2.82, 4 Mg 2.84-2.98
Zn  0.5000  0.5000  0.0000  8 Mg 2.82, 2 Ru 2.84, 2 Zn 2.98